# Hf2WO (GGA+U, optimized geometry)
data_Hf2WO
_cell_length_a 2.9515
_cell_length_b 2.9515
_cell_length_c 26.1021
_cell_angle_alpha 90.00
_cell_angle_beta 90.00
_cell_angle_gamma 120.00
_space_group_name_H-M_alt 'R -3 m'
_space_group_IT_number 166
_space_group_name_Hall '-R 3 2"'
loop_
_atom_site_label
_atom_site_type_symbol
_atom_site_fract_x
_atom_site_fract_y
_atom_site_fract_z
Hf1 Hf 0.0000 0.0000 0.1066
W1 W 0.0000 0.0000 0.0000
O1 O 0.0000 0.0000 0.5000
# Density of states at the Fermi level = 0.5 states/eV/f.u.
# Raw total energy = -8.63 eV per atom